No. 1
# Zr2AlAg | Alexandria via LeMat-Bulk | PBE | relaxed
# * ΔE_f: -0.109 eV per atom
# * N(E_F): 2.87 states/eV per cell
data_Zr2AlAg
_chemical_formula_sum 'Zr2 Al1 Ag1'
_cell_length_a 3.1811
_cell_length_b 4.0592
_cell_length_c 6.2577
_cell_angle_alpha 90.00
_cell_angle_beta 90.00
_cell_angle_gamma 90.00
_symmetry_space_group_name_H-M 'P 1'
_symmetry_Int_Tables_number 1
_symmetry_space_group_name_Hall 'P 1'
loop_
_atom_site_label
_atom_site_fract_x
_atom_site_fract_y
_atom_site_fract_z
Zr1 0.0000 0.0000 0.0000
Zr2 0.5000 0.5000 0.2680
Al1 0.5000 0.5000 0.7673
Ag1 0.0000 0.0000 0.5281

=====

No. 2
# ZrAlAg2 | Alexandria via LeMat-Bulk | PBE | relaxed
# * ΔE_f: 0.036 eV per atom
# * N(E_F): 3.76 states/eV per cell
data_ZrAlAg2
_chemical_formula_sum 'Zr1 Al1 Ag2'
_cell_length_a 9.7719
_cell_length_b 9.7719
_cell_length_c 9.7719
_cell_angle_alpha 17.55
_cell_angle_beta 17.55
_cell_angle_gamma 17.55
_symmetry_space_group_name_H-M 'P 1'
_symmetry_Int_Tables_number 1
_symmetry_space_group_name_Hall 'P 1'
loop_
_atom_site_label
_atom_site_fract_x
_atom_site_fract_y
_atom_site_fract_z
Zr1 0.0000 0.0000 0.0000
Al1 0.5000 0.5000 0.5000
Ag1 0.2434 0.2434 0.2434
Ag2 0.7566 0.7566 0.7566

=====

No. 3
# Zr6AlAg | Alexandria via LeMat-Bulk | PBE | relaxed
# * ΔE_f: -0.107 eV per atom
# * N(E_F): 8.11 states/eV per cell
data_Zr6AlAg
_chemical_formula_sum 'Zr6 Al1 Ag1'
_cell_length_a 9.1753
_cell_length_b 9.1753
_cell_length_c 9.1753
_cell_angle_alpha 151.61
_cell_angle_beta 151.61
_cell_angle_gamma 40.58
_symmetry_space_group_name_H-M 'P 1'
_symmetry_Int_Tables_number 1
_symmetry_space_group_name_Hall 'P 1'
loop_
_atom_site_label
_atom_site_fract_x
_atom_site_fract_y
_atom_site_fract_z
Zr1 0.1186 0.6186 0.5000
Zr2 0.2490 0.2490 0.0000
Zr3 0.3814 0.8814 0.5000
Zr4 0.6186 0.1186 0.5000
Zr5 0.7510 0.7510 0.0000
Zr6 0.8814 0.3814 0.5000
Al1 0.5000 0.5000 0.0000
Ag1 0.0000 0.0000 0.0000